No. 1
# KSrB2Au (PBE-GGA, optimized geometry)
data_KSrB2Au
_cell_length_a 5.3201
_cell_length_b 6.0064
_cell_length_c 5.3201
_cell_angle_alpha 90.00
_cell_angle_beta 90.00
_cell_angle_gamma 90.00
_symmetry_space_group_name_H-M 'P 1'
_symmetry_Int_Tables_number 1
_symmetry_space_group_name_Hall 'P 1'
loop_
_atom_site_label
_atom_site_type_symbol
_atom_site_fract_x
_atom_site_fract_y
_atom_site_fract_z
_atom_site_occupancy
Sr1 Sr 0.0000 0.0000 0.0000 1
K1 K 0.5000 0.5000 0.5000 1
B1 B 0.0000 0.0000 0.5000 1
B2 B 0.5000 0.0000 0.0000 1
Au1 Au 0.0000 0.5000 0.0000 1
# Final energy (eV/atom): -2.31
# V (Å³/cell): 170
# Calculated formation energy (eV per atom): 1.57


No. 2
# NdTeAs (PBE-GGA, optimized geometry)
data_NdTeAs
_cell_length_a 4.6021
_cell_length_b 4.5899
_cell_length_c 13.8792
_cell_angle_alpha 109.15
_cell_angle_beta 80.46
_cell_angle_gamma 59.91
_symmetry_space_group_name_H-M 'P 1'
_symmetry_Int_Tables_number 1
_symmetry_space_group_name_Hall 'P 1'
loop_
_atom_site_label
_atom_site_type_symbol
_atom_site_fract_x
_atom_site_fract_y
_atom_site_fract_z
_atom_site_occupancy
Nd1 Nd 0.8825 0.0206 0.2144 1
Nd2 Nd 0.1175 0.9794 0.7856 1
As1 As 0.7937 0.3819 0.0307 1
As2 As 0.2063 0.6181 0.9693 1
Te1 Te 0.0457 0.5659 0.3428 1
Te2 Te 0.9543 0.4341 0.6572 1
# Final energy (eV/atom): -5.12
# V (Å³/cell): 219
# ΔE_f (raw) (meV/atom): -935


No. 3
# Pr2CoSe (PBE-GGA, optimized geometry)
data_Pr2CoSe
_cell_length_a 4.1478
_cell_length_b 4.2330
_cell_length_c 12.0920
_cell_angle_alpha 100.08
_cell_angle_beta 90.00
_cell_angle_gamma 90.00
_symmetry_space_group_name_H-M 'P 1'
_symmetry_Int_Tables_number 1
_symmetry_space_group_name_Hall 'P 1'
loop_
_atom_site_label
_atom_site_type_symbol
_atom_site_fract_x
_atom_site_fract_y
_atom_site_fract_z
_atom_site_occupancy
Pr1 Pr 0.7500 0.6842 0.3683 1
Pr2 Pr 0.2500 0.3158 0.6317 1
Pr3 Pr 0.7500 0.9358 0.8715 1
Pr4 Pr 0.2500 0.0642 0.1285 1
Co1 Co 0.2500 0.4796 0.9592 1
Co2 Co 0.7500 0.5204 0.0408 1
Se1 Se 0.2500 0.1909 0.3818 1
Se2 Se 0.7500 0.8091 0.6182 1
# Final energy (eV/atom): -5.95
# V (Å³/cell): 209
# Excess energy over the best structure of this formula in the dataset (meV/atom): 0.0
# ΔE_f (raw) (meV/atom): -914


No. 4
# Na3DyPu2Te6 (PBE-GGA, optimized geometry)
data_Na3DyPu2Te6
_cell_length_a 7.7455
_cell_length_b 7.7455
_cell_length_c 7.9431
_cell_angle_alpha 99.35
_cell_angle_beta 99.35
_cell_angle_gamma 120.00
_symmetry_space_group_name_H-M 'P 1'
_symmetry_Int_Tables_number 1
_symmetry_space_group_name_Hall 'P 1'
loop_
_atom_site_label
_atom_site_type_symbol
_atom_site_fract_x
_atom_site_fract_y
_atom_site_fract_z
_atom_site_occupancy
Na1 Na 0.1673 0.8327 0.5000 1
Na2 Na 0.8327 0.1673 0.5000 1
Na3 Na 0.5000 0.5000 0.5000 1
Dy1 Dy 0.0000 0.0000 0.0000 1
Pu1 Pu 0.3334 0.6666 0.0000 1
Pu2 Pu 0.6666 0.3334 0.0000 1
Te1 Te 0.9221 0.5916 0.7664 1
Te2 Te 0.7474 0.7474 0.2337 1
Te3 Te 0.0779 0.4084 0.2336 1
Te4 Te 0.5916 0.9221 0.7664 1
Te5 Te 0.2526 0.2526 0.7663 1
Te6 Te 0.4084 0.0779 0.2336 1
# Final energy (eV/atom): -5.79
# V (Å³/cell): 390
# ΔE_f (raw) (meV/atom): -1122